No. 1
First-principles (GGA-PBE) data for a geometry-optimized PuTc4As2 structure, as listed in Alexandria via LeMat-Bulk.

abc: 7.5789 7.5789 4.0271
angles: 90.00 90.00 148.63
With the nearest neighbours (Å) after each atom.
Sites, in units of the cell vectors:
Pu 0.0000 0.0000 0.0000  8 As 3.15, 8 Tc 3.41-3.53
Tc 0.1886 0.8114 0.5000  2 As 2.51, 4 Tc 2.62-2.72
Tc 0.3032 0.6968 0.0000  2 As 2.56, 4 Tc 2.57-2.62
Tc 0.6968 0.3032 0.0000  2 As 2.56, 4 Tc 2.57-2.62
Tc 0.8114 0.1886 0.5000  2 As 2.51, 4 Tc 2.62-2.72
As 0.4110 0.5890 0.5000  4 Tc 2.51-2.56, 1 As 2.60
As 0.5890 0.4110 0.5000  4 Tc 2.51-2.56, 1 As 2.60

Summary:
**Total magnetization**: 5.23 Bohr magnetons per cell
**Theoretical density**: 10.84 g cm⁻³
**Space-group type**: Cmmm, No. 65
**E_tot**: -67.77 eV/f.u.
**Fermi-level density of states**: 1.914 states/eV per atom



No. 2
First-principles (GGA-PBE) data for a geometry-optimized Al2SiPbO6 structure, as listed in Alexandria via LeMat-Bulk.

abc: 7.5692 7.5692 5.9318
angles: 108.57 108.57 93.66
With the nearest neighbours (Å) after each atom.
Sites, in units of the cell vectors:
Al 0.1688 0.3207 0.3173  4 O 1.77-1.78
Al 0.3207 0.1688 0.8173  4 O 1.77-1.78
Al 0.6793 0.8312 0.1827  4 O 1.77-1.78
Al 0.8312 0.6793 0.6827  4 O 1.77-1.78
Si 0.2863 0.7137 0.7500  4 O 1.63-1.64
Si 0.7137 0.2863 0.2500  4 O 1.63-1.64
Pb 0.1740 0.8260 0.2500  4 O 2.51-2.55
Pb 0.8260 0.1740 0.7500  4 O 2.51-2.55
O 0.0791 0.6769 0.7758  1 Si 1.64, 1 Al 1.78
O 0.1786 0.2253 0.0064  2 Al 1.77-1.78
O 0.2253 0.1786 0.5064  2 Al 1.77-1.78
O 0.2854 0.5596 0.4841  1 Si 1.63, 1 Al 1.77
O 0.3231 0.9209 0.7242  1 Si 1.64, 1 Al 1.78
O 0.4404 0.7146 0.0159  1 Si 1.63, 1 Al 1.77
O 0.5596 0.2854 0.9841  1 Si 1.63, 1 Al 1.77
O 0.6769 0.0791 0.2758  1 Si 1.64, 1 Al 1.78
O 0.7146 0.4404 0.5159  1 Si 1.63, 1 Al 1.77
O 0.7747 0.8214 0.4936  2 Al 1.77-1.78
O 0.8214 0.7747 0.9936  2 Al 1.77-1.78
O 0.9209 0.3231 0.2242  1 Si 1.64, 1 Al 1.78

Summary:
**Total magnetization**: 0.00 Bohr magnetons per cell
**Theoretical density**: 4.26 g cm⁻³
**Space-group type**: C2/c, No. 15
**Fermi-level density of states**: 0.000 states/eV per atom
**Formation energy without anion corrections**: -25.7 eV/f.u.



No. 3
First-principles (GGA-PBE) data for a geometry-optimized Tb7Pm2Mg2 structure, as listed in Alexandria via LeMat-Bulk.

abc: 8.0937 8.0937 5.7429
angles: 105.27 105.27 88.32
With the nearest neighbours (Å) after each atom.
Sites, in units of the cell vectors:
Tb 0.0000 0.0000 0.0000  4 Tb 3.13
Tb 0.0159 0.6009 0.8146  2 Tb 3.07-3.13, 1 Pm 3.35
Tb 0.2288 0.2288 0.6589  1 Mg 3.22, 4 Tb 3.45-3.49, 2 Pm 3.52
Tb 0.3991 0.9841 0.1854  2 Tb 3.07-3.13, 1 Pm 3.35
Tb 0.6009 0.0159 0.8146  2 Tb 3.07-3.13, 1 Pm 3.35
Tb 0.7712 0.7712 0.3411  1 Mg 3.22, 4 Tb 3.45-3.49, 2 Pm 3.52
Tb 0.9841 0.3991 0.1854  2 Tb 3.07-3.13, 1 Pm 3.35
Pm 0.2227 0.7773 0.5000  6 Tb 3.35-3.52, 2 Mg 3.48
Pm 0.7773 0.2227 0.5000  6 Tb 3.35-3.52, 2 Mg 3.48
Mg 0.4335 0.4335 0.2173  2 Mg 3.04-3.38, 1 Tb 3.22
Mg 0.5665 0.5665 0.7827  2 Mg 3.04-3.38, 1 Tb 3.22

Summary:
**Total magnetization**: 0.00 Bohr magnetons per cell
**Theoretical density**: 6.89 g cm⁻³
**Space-group type**: C2/m, No. 12
**E_tot**: -43.37 eV/f.u.
**Fermi-level density of states**: 1.198 states/eV per atom



No. 4
First-principles (GGA-PBE) data for a geometry-optimized RbAcCdS3 structure, as listed in Alexandria via LeMat-Bulk.

abc: 9.3160 4.4117 10.1625
angles: 90.00 103.49 90.00
With the nearest neighbours (Å) after each atom.
Sites, in units of the cell vectors:
Rb 0.1879 0.2500 0.2110  5 S 3.45-3.56
Rb 0.8121 0.7500 0.7890  5 S 3.45-3.56
Ac 0.3384 0.7500 0.8478  6 S 2.94-3.20
Ac 0.6616 0.2500 0.1522  6 S 2.94-3.20
Cd 0.0835 0.2500 0.6063  4 S 2.50-2.64
Cd 0.9165 0.7500 0.3937  4 S 2.50-2.64
S 0.1201 0.2500 0.8584  1 Cd 2.50
S 0.1949 0.7500 0.5296  3 Cd 2.63-2.64
S 0.4465 0.7500 0.1442  3 Ac 2.94-2.97
S 0.5535 0.2500 0.8558  3 Ac 2.94-2.97
S 0.8051 0.2500 0.4704  3 Cd 2.63-2.64
S 0.8799 0.7500 0.1416  1 Cd 2.50

Summary:
**Total magnetization**: 0.00 Bohr magnetons per cell
**Theoretical density**: 4.26 g cm⁻³
**Space-group type**: P2_1/m, No. 11
**Fermi-level density of states**: 0.000 states/eV per atom
**Formation energy without anion corrections**: -8.5 eV/f.u.



No. 5
First-principles (GGA-PBE) data for a geometry-optimized P2RuWCl structure, as listed in Alexandria via LeMat-Bulk.

abc: 4.5033 4.5033 4.6222
angles: 90.00 90.00 90.00
With the nearest neighbours (Å) after each atom.
Sites, in units of the cell vectors:
P 0.0000 0.5000 0.0000  2 Ru 2.25
P 0.5000 0.0000 0.0000  2 Ru 2.25
Ru 0.0000 0.0000 0.0000  4 P 2.25, 2 Cl 2.31
W 0.5000 0.5000 0.5000  4 Cl 3.18, 8 P 3.23
Cl 0.0000 0.0000 0.5000  2 Ru 2.31

Summary:
**Total magnetization**: 0.00 Bohr magnetons per cell
**Theoretical density**: 6.77 g cm⁻³
**Space-group type**: P4/mmm, No. 123
**Fermi-level density of states**: 2.115 states/eV per atom
**Formation energy without anion corrections**: 7.0 eV/f.u.



No. 6
First-principles (GGA-PBE) data for a geometry-optimized Hf3Ti3In2 structure, as listed in Alexandria via LeMat-Bulk.

abc: 9.4560 9.4560 9.4560
angles: 154.22 153.65 37.20
With the nearest neighbours (Å) after each atom.
Sites, in units of the cell vectors:
Hf 0.0000 0.0000 0.0000  8 Ti 3.00-3.02, 4 Hf 3.05
Hf 0.3795 0.8795 0.5000  6 Ti 3.02, 2 Hf 3.05, 4 In 3.14-3.17
Hf 0.6205 0.1205 0.5000  6 Ti 3.02, 2 Hf 3.05, 4 In 3.14-3.17
Ti 0.1194 0.6194 0.5000  6 Hf 3.00-3.02, 2 Ti 3.04, 4 In 3.15-3.18
Ti 0.5000 0.5000 0.0000  8 Hf 3.02, 4 Ti 3.04
Ti 0.8806 0.3806 0.5000  6 Hf 3.00-3.02, 2 Ti 3.04, 4 In 3.15-3.18
In 0.2499 0.2499 0.0000  4 In 3.02, 4 Hf 3.14-3.17, 4 Ti 3.15-3.18
In 0.7501 0.7501 0.0000  4 In 3.02, 4 Hf 3.14-3.17, 4 Ti 3.15-3.18

Summary:
**Total magnetization**: 0.00 Bohr magnetons per cell
**Theoretical density**: 9.26 g cm⁻³
**Space-group type**: Immm, No. 71
**E_tot**: -59.67 eV/f.u.
**Fermi-level density of states**: 0.882 states/eV per atom



No. 7
First-principles (GGA-PBE) data for a geometry-optimized YTeSe2 structure, as listed in Alexandria via LeMat-Bulk.

abc: 9.4501 9.4501 9.4501
angles: 24.14 24.14 24.14
With the nearest neighbours (Å) after each atom.
Sites, in units of the cell vectors:
Y 0.0000 0.0000 0.0000  3 Se 2.73
Te 0.7517 0.7517 0.7517  3 Se 2.99, 3 Y 3.27
Se 0.2790 0.2790 0.2790  3 Y 2.73
Se 0.4887 0.4887 0.4887  3 Te 2.99

Summary:
**Total magnetization**: 0.00 Bohr magnetons per cell
**Theoretical density**: 5.01 g cm⁻³
**Space-group type**: R3m, No. 160
**Fermi-level density of states**: 1.034 states/eV per atom
**Formation energy without anion corrections**: -2.2 eV/f.u.



No. 8
First-principles (GGA-PBE) data for a geometry-optimized SrAgSb2 structure, as listed in Alexandria via LeMat-Bulk.

abc: 6.0399 6.0399 6.0399
angles: 138.18 129.55 67.55
With the nearest neighbours (Å) after each atom.
Sites, in units of the cell vectors:
Sr 0.0000 0.0000 0.0000  4 Ag 3.36, 8 Sb 3.45-3.47
Ag 0.5000 0.5000 0.0000  4 Sb 3.17, 4 Sr 3.36
Sb 0.2686 0.7686 0.5000  2 Ag 3.17, 4 Sb 3.38, 4 Sr 3.45-3.47
Sb 0.7314 0.2314 0.5000  2 Ag 3.17, 4 Sb 3.38, 4 Sr 3.45-3.47

Summary:
**Total magnetization**: 0.00 Bohr magnetons per cell
**Theoretical density**: 6.54 g cm⁻³
**Space-group type**: Immm, No. 71
**Fermi-level density of states**: 0.472 states/eV per atom
**Formation energy without anion corrections**: -1.2 eV/f.u.